Computed, not measured: an optimized crystal structure of BeNiAg2F6 at the PBE with a Hubbard U level of DFT.

Structure (CIF):
```
data_BeNiAg2F6
_space_group_name_H-M_alt 'P 1'
_space_group_IT_number 1
_cell_length_a 5.700
_cell_length_b 5.391
_cell_length_c 5.606
_cell_angle_alpha 73.77
_cell_angle_beta 57.54
_cell_angle_gamma 60.35
loop_
_space_group_symop_operation_xyz
'x,y,z'
loop_
_atom_site_label
_atom_site_fract_x
_atom_site_fract_y
_atom_site_fract_z
Be1 0.332 0.200 0.172
Ni1 0.815 0.825 0.544
Ag1 0.611 0.540 0.270
Ag2 0.055 0.082 0.835
F1 0.579 0.088 0.285
F2 0.115 0.034 0.344
F3 0.134 0.524 0.237
F4 0.515 0.675 0.682
F5 0.520 0.123 0.855
F6 0.985 0.571 0.791
```

Results
* total magnetic moment: 2.0 μB/f.u.
* space-group type: P1 (1)
* Fermi-level density of states: 0.00 states/eV per cell
* total DFT energy (no corrections): -42.74 eV per cell